# 1
Li2Sc2N after structural relaxation. Source: the Alexandria database, functional GGA-PBE.

a b c (Å): 5.9509 5.9509 5.6548
angles (deg): 90.00 90.00 90.00
Last column: nearest neighbours and their distance in Å.
Fractional positions:
Li1 0.6537 0.8463 0.5000  1 Li 2.59
Li2 0.3463 0.1537 0.5000  1 Li 2.59
Li3 0.8463 0.3463 0.5000  1 Li 2.59
Li4 0.1537 0.6537 0.5000  1 Li 2.59
N1 0.0000 0.0000 0.0000  4 Sc 2.15
N2 0.5000 0.5000 0.0000  4 Sc 2.15
Sc1 0.8024 0.6976 0.0000  2 N 2.15
Sc2 0.6976 0.1976 0.0000  2 N 2.15
Sc3 0.3024 0.8024 0.0000  2 N 2.15
Sc4 0.1976 0.3024 0.0000  2 N 2.15

Computed properties:
- energy relative to the lowest polymorph listed for this composition (kJ per mole of atoms) = 0.0
- symmetry = P4/mbm (127)

***

# 2
LiScN2 after structural relaxation. Source: the Alexandria database, functional GGA-PBE.

a b c (Å): 5.8189 5.8189 5.8189
angles (deg): 34.99 34.99 34.99
Last column: nearest neighbours and their distance in Å.
Fractional positions:
N1 0.1146 0.1146 0.1146  1 Sc 1.88
N2 0.8854 0.8854 0.8854  1 Sc 1.88
Sc1 0.0000 0.0000 0.0000  2 N 1.88
Li1 0.5000 0.5000 0.5000  6 N 2.19

Computed properties:
- energy relative to the lowest polymorph listed for this composition (kJ per mole of atoms) = 103.9
- symmetry = R-3m (166)

***

# 3
LiSc2N after structural relaxation. Source: the Alexandria database, functional GGA-PBE.

a b c (Å): 8.6264 8.6264 8.6264
angles (deg): 21.29 21.29 21.29
Last column: nearest neighbours and their distance in Å.
Fractional positions:
N1 0.5000 0.5000 0.5000  6 Sc 2.21
Sc1 0.8816 0.8816 0.8816  3 N 2.21
Sc2 0.1184 0.1184 0.1184  3 N 2.21
Li1 0.0000 0.0000 0.0000  2 Sc 2.99, 6 Li 3.19

Computed properties:
- symmetry = R-3m (166)

***

# 4
Li2Sc2N after structural relaxation. Source: the Alexandria database, functional GGA-PBE.

a b c (Å): 3.0256 3.0256 8.3096
angles (deg): 79.51 79.51 90.00
Last column: nearest neighbours and their distance in Å.
Fractional positions:
N1 0.0000 0.0000 0.0000  8 Sc 2.49
Li1 0.7500 0.2500 0.5000  4 Li 2.14
Li2 0.2500 0.7500 0.5000  4 Li 2.14
Sc1 0.5788 0.5788 0.8423  4 N 2.49, 1 Sc 2.53
Sc2 0.4212 0.4212 0.1577  4 N 2.49, 1 Sc 2.53

Computed properties:
- energy relative to the lowest polymorph listed for this composition (kJ per mole of atoms) = 25.1
- symmetry = I4/mmm (139)

***

# 5
LiScN after structural relaxation. Source: the Alexandria database, functional GGA-PBE.

a b c (Å): 3.2865 4.4372 6.4539
angles (deg): 90.00 105.91 90.00
Last column: nearest neighbours and their distance in Å.
Fractional positions:
Li1 0.9359 0.7500 0.8396  2 N 2.19-2.21
Li2 0.0641 0.2500 0.1604  2 N 2.19-2.21
Sc1 0.6897 0.7500 0.3884  4 N 2.12-2.22
Sc2 0.3103 0.2500 0.6116  4 N 2.12-2.22
N1 0.6939 0.2500 0.3961  4 Sc 2.12-2.22, 2 Li 2.19-2.21
N2 0.3061 0.7500 0.6039  4 Sc 2.12-2.22, 2 Li 2.19-2.21

Computed properties:
- symmetry = P2_1/m (11)

***

# 6
Li2ScN2 after structural relaxation. Source: the Alexandria database, functional GGA-PBE.

a b c (Å): 3.7872 3.7872 4.2746
angles (deg): 63.71 63.71 90.00
Last column: nearest neighbours and their distance in Å.
Fractional positions:
N1 0.7500 0.2500 0.5000  4 Li 1.99
N2 0.2500 0.7500 0.5000  4 Li 1.99
Li1 0.3438 0.3438 0.3124  4 N 1.99, 1 Li 2.08
Li2 0.6562 0.6562 0.6876  4 N 1.99, 1 Li 2.08
Sc1 0.0000 0.0000 0.0000  2 Li 2.29, 8 N 2.52

Computed properties:
- symmetry = I4/mmm (139)

***

# 7
LiScN2 after structural relaxation. Source: the Alexandria database, functional GGA-PBE.

a b c (Å): 3.7847 3.7847 3.7847
angles (deg): 60.00 60.00 60.00
Last column: nearest neighbours and their distance in Å.
Fractional positions:
N1 0.7500 0.7500 0.7500  4 Li 2.32, 4 Sc 2.32
N2 0.2500 0.2500 0.2500  4 Li 2.32, 4 Sc 2.32
Sc1 0.5000 0.5000 0.5000  8 N 2.32
Li1 0.0000 0.0000 0.0000  8 N 2.32

Computed properties:
- energy relative to the lowest polymorph listed for this composition (kJ per mole of atoms) = 0.0
- symmetry = Fm-3m (225)

***

# 8
LiScN after structural relaxation. Source: the Alexandria database, functional GGA-PBE.

a b c (Å): 3.6452 3.6452 3.6452
angles (deg): 60.00 60.00 60.00
Last column: nearest neighbours and their distance in Å.
Fractional positions:
Li1 0.0000 0.0000 0.0000  4 N 2.23
N1 0.2500 0.2500 0.2500  4 Li 2.23, 4 Sc 2.23
Sc1 0.5000 0.5000 0.5000  4 N 2.23

Computed properties:
- symmetry = F-43m (216)

***

# 9
LiScN3 after structural relaxation. Source: the Alexandria database, functional GGA-PBE.

a b c (Å): 4.1180 4.1180 4.1180
angles (deg): 90.00 90.00 90.00
Last column: nearest neighbours and their distance in Å.
Fractional positions:
Sc1 0.0000 0.0000 0.0000  6 N 2.06
N1 0.5000 0.0000 0.0000  2 Sc 2.06
N2 0.0000 0.0000 0.5000  2 Sc 2.06
N3 0.0000 0.5000 0.0000  2 Sc 2.06
Li1 0.5000 0.5000 0.5000  12 N 2.91

Computed properties:
- symmetry = Pm-3m (221)

***

# 10
LiScN2 after structural relaxation. Source: the Alexandria database, functional GGA-PBE.

a b c (Å): 6.2180 6.2180 6.2180
angles (deg): 30.88 30.88 30.88
Last column: nearest neighbours and their distance in Å.
Fractional positions:
N1 0.1064 0.1064 0.1064  1 Li 1.89
N2 0.8936 0.8936 0.8936  1 Li 1.89
Sc1 0.5000 0.5000 0.5000  6 N 2.19
Li1 0.0000 0.0000 0.0000  2 N 1.89

Computed properties:
- energy relative to the lowest polymorph listed for this composition (kJ per mole of atoms) = 3.1
- symmetry = R-3m (166)

***

# 11
LiSc2N after structural relaxation. Source: the Alexandria database, functional GGA-PBE.

a b c (Å): 6.2295 6.2295 6.0842
angles (deg): 59.21 59.21 90.00
Last column: nearest neighbours and their distance in Å.
Fractional positions:
Sc1 0.7398 0.1250 0.2500  2 N 2.06
Sc2 0.3750 0.2602 0.7500  2 N 2.06
Sc3 0.0102 0.6250 0.2500  2 N 2.06
Sc4 0.8750 0.9898 0.7500  2 N 2.06
N1 0.7500 0.2500 0.5000  4 Sc 2.06
N2 0.0000 0.0000 0.0000  4 Sc 2.06
Li1 0.5000 0.5000 0.0000  4 Sc 2.95
Li2 0.2500 0.7500 0.5000  4 Sc 2.95

Computed properties:
- symmetry = I-42d (122)

***

# 12
LiScN3 after structural relaxation. Source: the Alexandria database, functional GGA-PBE.

a b c (Å): 3.5528 3.5528 3.5528
angles (deg): 90.00 90.00 90.00
Last column: nearest neighbours and their distance in Å.
Fractional positions:
N1 0.0000 0.5000 0.0000  2 Li 1.78
N2 0.5000 0.0000 0.0000  2 Li 1.78
N3 0.0000 0.0000 0.5000  2 Li 1.78
Sc1 0.5000 0.5000 0.5000  12 N 2.51
Li1 0.0000 0.0000 0.0000  6 N 1.78

Computed properties:
- symmetry = Pm-3m (221)

***

Number 1: raw formation energy -305 meV per atom. Number 2: raw formation energy 799 meV per atom. Number 3: raw formation energy -817 meV per atom. Number 4: raw formation energy -44 meV per atom. Number 5: raw formation energy -1020 meV per atom. Number 6: raw formation energy -139 meV per atom. Number 7: raw formation energy -278 meV per atom. Number 8: raw formation energy -875 meV per atom. Number 9: raw formation energy 914 meV per atom. Number 10: raw formation energy -246 meV per atom. Number 11: raw formation energy -570 meV per atom. Number 12: raw formation energy 833 meV per atom.